# AlCdGa

An optimized crystal structure of AlCdGa (PBE, the Alexandria database).

```
data_AlCdGa
_chemical_formula_sum 'Al2 Cd2 Ga2'
_symmetry_space_group_name_H-M 'P 1'
_symmetry_Int_Tables_number 1
_cell_length_a 7.895
_cell_length_b 5.925
_cell_length_c 2.926
_cell_angle_alpha 62.20
_cell_angle_beta 89.39
_cell_angle_gamma 99.56
loop_
_symmetry_equiv_pos_as_xyz
'x,y,z'
loop_
_atom_site_label
_atom_site_fract_x
_atom_site_fract_y
_atom_site_fract_z
Cd1 0.379 0.646 0.376
Al1 0.047 0.200 0.812
Ga1 0.747 0.279 0.236
Al2 0.047 0.700 0.812
Ga2 0.747 0.779 0.236
Cd2 0.379 0.146 0.376
```

ΔE_f ... 21 kJ/mol of formula units
Excess energy over the best structure of this formula in the dataset ... 19 meV per atom
D(E_F) ... 0.3658 states/eV per atom

---

# AlCd2Ga2

An optimized crystal structure of AlCd2Ga2 (PBE, the Alexandria database).

```
data_AlCd2Ga2
_chemical_formula_sum 'Al1 Cd2 Ga2'
_symmetry_space_group_name_H-M 'P 1'
_symmetry_Int_Tables_number 1
_cell_length_a 4.225
_cell_length_b 4.225
_cell_length_c 6.850
_cell_angle_alpha 107.96
_cell_angle_beta 107.96
_cell_angle_gamma 90.00
loop_
_symmetry_equiv_pos_as_xyz
'x,y,z'
loop_
_atom_site_label
_atom_site_fract_x
_atom_site_fract_y
_atom_site_fract_z
Al1 0.000 0.000 0.000
Ga1 0.599 0.599 0.198
Cd1 0.250 0.750 0.500
Ga2 0.401 0.401 0.802
Cd2 0.750 0.250 0.500
```

ΔE_f ... 104 kJ/mol of formula units
Excess energy over the best structure of this formula in the dataset ... 173 meV per atom
D(E_F) ... 0.2877 states/eV per atom

---

# AlCdGa

An optimized crystal structure of AlCdGa (PBE, the Alexandria database).

```
data_AlCdGa
_chemical_formula_sum 'Al2 Cd2 Ga2'
_symmetry_space_group_name_H-M 'P 1'
_symmetry_Int_Tables_number 1
_cell_length_a 4.218
_cell_length_b 7.925
_cell_length_c 4.216
_cell_angle_alpha 68.47
_cell_angle_beta 89.39
_cell_angle_gamma 68.44
loop_
_symmetry_equiv_pos_as_xyz
'x,y,z'
loop_
_atom_site_label
_atom_site_fract_x
_atom_site_fract_y
_atom_site_fract_z
Al1 0.974 0.677 0.199
Ga1 0.300 0.950 0.026
Ga2 0.648 0.404 0.373
Cd1 0.764 0.013 0.490
Cd2 0.184 0.341 0.909
Al2 0.474 0.677 0.700
```

ΔE_f ... 25 kJ/mol of formula units
Excess energy over the best structure of this formula in the dataset ... 32 meV per atom
D(E_F) ... 0.3493 states/eV per atom

---

Q: Which E_tot values were calculated for the entries above? A: -2.49; -2.11; -2.47, in eV/atom.